Compound: Rb2Tl2In
Source: Alexandria via LeMat-Bulk
Functional: PBE-GGA
Structure: relaxed

Lattice parameters (Å, degrees): 5.067 5.067 9.025 73.70 73.70 90.00
Positions (direct):
Tl: 0.589 0.589 0.822
In: 0.000 0.000 0.000
Rb: 0.250 0.750 0.500
Tl: 0.411 0.411 0.178
Rb: 0.750 0.250 0.500

Computed properties:
ΔH_f (0 K), eV per atom: 0.25
Symmetry: No. 139